# 1
# TbGd2In3Cu2Pt PBE-GGA relaxed
# * energy: -4.5394 eV per atom
# * crystal system: orthorhombic
data_TbGd2In3Cu2Pt
_chemical_formula_sum 'Tb2 Gd4 In6 Cu4 Pt2'
_cell_length_a 3.990
_cell_length_b 13.106
_cell_length_c 7.565
_cell_angle_alpha 90.00
_cell_angle_beta 90.00
_cell_angle_gamma 90.00
_symmetry_space_group_name_H-M 'A m m 2'
_symmetry_Int_Tables_number 38
_symmetry_space_group_name_Hall 'A 2 -2'
loop_
_atom_site_label
_atom_site_type_symbol
_atom_site_fract_x
_atom_site_fract_y
_atom_site_fract_z
Tb1 Tb 0.000 0.000 0.000
Gd1 Gd 0.000 0.202 0.607
In1 In 0.500 0.000 0.667
In2 In 0.500 0.131 0.273
Cu1 Cu 0.500 0.166 0.904
Pt1 Pt 0.000 0.000 0.404

***

# 2
# UCo2Sn2 PBE-GGA relaxed
# * energy: -6.6763 eV per atom
# * crystal system: tetragonal
data_UCo2Sn2
_chemical_formula_sum 'U2 Co4 Sn4'
_cell_length_a 4.358
_cell_length_b 4.358
_cell_length_c 9.783
_cell_angle_alpha 90.00
_cell_angle_beta 90.00
_cell_angle_gamma 90.00
_symmetry_space_group_name_H-M 'P 4/n m m'
_symmetry_Int_Tables_number 129
loop_
_symmetry_equiv_pos_as_xyz
'x,y,z'
'-x,-y,-z'
'-y+1/2,x,z'
'y+1/2,-x,-z'
'-x+1/2,-y+1/2,z'
'x+1/2,y+1/2,-z'
'y,-x+1/2,z'
'-y,x+1/2,-z'
'x+1/2,-y,-z'
'-x+1/2,y,z'
'-y,-x,-z'
'y,x,z'
'-x,y+1/2,-z'
'x,-y+1/2,z'
'y+1/2,x+1/2,-z'
'-y+1/2,-x+1/2,z'
loop_
_atom_site_label
_atom_site_type_symbol
_atom_site_fract_x
_atom_site_fract_y
_atom_site_fract_z
U1 U 0.250 0.250 0.229
Co1 Co 0.250 0.250 0.627
Co2 Co 0.250 0.750 0.000
Sn1 Sn 0.250 0.250 0.870
Sn2 Sn 0.250 0.750 0.500

***

# 3
# InPdAuSe3 PBE-GGA relaxed
# * energy: -3.6525 eV per atom
# * crystal system: orthorhombic
data_InPdAuSe3
_chemical_formula_sum 'In4 Pd4 Au4 Se12'
_cell_length_a 3.789
_cell_length_b 14.456
_cell_length_c 9.255
_cell_angle_alpha 90.00
_cell_angle_beta 90.00
_cell_angle_gamma 90.00
_symmetry_space_group_name_H-M 'C m c m'
_symmetry_Int_Tables_number 63
_symmetry_space_group_name_Hall '-C 2c 2'
loop_
_atom_site_label
_atom_site_type_symbol
_atom_site_fract_x
_atom_site_fract_y
_atom_site_fract_z
In1 In 0.000 0.231 0.250
Pd1 Pd 0.000 0.000 0.000
Au1 Au 0.000 0.479 0.750
Se1 Se 0.000 0.101 0.750
Se2 Se 0.000 0.355 0.549

***

# 4
# NbNiAgSn PBE-GGA relaxed
# * energy: -5.4223 eV per atom
# * crystal system: cubic
data_NbNiAgSn
_chemical_formula_sum 'Nb4 Ni4 Ag4 Sn4'
_cell_length_a 6.500
_cell_length_b 6.500
_cell_length_c 6.500
_cell_angle_alpha 90.00
_cell_angle_beta 90.00
_cell_angle_gamma 90.00
_symmetry_space_group_name_H-M 'F -4 3 m'
_symmetry_Int_Tables_number 216
_symmetry_space_group_name_Hall 'F -4 2 3'
loop_
_atom_site_label
_atom_site_type_symbol
_atom_site_fract_x
_atom_site_fract_y
_atom_site_fract_z
Nb1 Nb 0.000 0.000 0.000
Ni1 Ni 0.000 0.000 0.500
Ag1 Ag 0.250 0.250 0.750
Sn1 Sn 0.250 0.250 0.250

***

# 5
# Sr2MgOsS6 PBE-GGA relaxed
# * excess energy over the best structure of this formula in the dataset: 0.0094 eV per atom
# * energy: -5.0477 eV per atom
# * crystal system: triclinic
data_Sr2MgOsS6
_chemical_formula_sum 'Sr2 Mg1 Os1 S6'
_cell_length_a 6.175
_cell_length_b 6.489
_cell_length_c 6.773
_cell_angle_alpha 66.32
_cell_angle_beta 64.68
_cell_angle_gamma 64.89
_symmetry_space_group_name_H-M 'P -1'
_symmetry_Int_Tables_number 2
_symmetry_space_group_name_Hall '-P 1'
loop_
_atom_site_label
_atom_site_type_symbol
_atom_site_fract_x
_atom_site_fract_y
_atom_site_fract_z
Sr1 Sr 0.247 0.263 0.245
Mg1 Mg 0.000 0.000 0.000
Os1 Os 0.500 0.500 0.500
S1 S 0.170 0.747 0.332
S2 S 0.260 0.652 0.826
S3 S 0.330 0.187 0.694

***

# 6
# Zn2SnTe2F2 PBE-GGA relaxed
# * energy: -3.1769 eV per atom
# * crystal system: tetragonal
data_Zn2SnTe2F2
_chemical_formula_sum 'Zn2 Sn1 Te2 F2'
_cell_length_a 3.829
_cell_length_b 3.829
_cell_length_c 9.753
_cell_angle_alpha 90.00
_cell_angle_beta 90.00
_cell_angle_gamma 90.00
_symmetry_space_group_name_H-M 'P -4 m 2'
_symmetry_Int_Tables_number 115
_symmetry_space_group_name_Hall 'P -4 -2'
loop_
_atom_site_label
_atom_site_type_symbol
_atom_site_fract_x
_atom_site_fract_y
_atom_site_fract_z
Zn1 Zn 0.000 0.500 0.127
Sn1 Sn 0.500 0.500 0.500
Te1 Te 0.000 0.500 0.728
F1 F 0.000 0.000 0.000
F2 F 0.500 0.500 0.000

***

# 7
# GdNpCl6 PBE-GGA relaxed
# * energy: -5.5627 eV per atom
# * crystal system: monoclinic
data_GdNpCl6
_chemical_formula_sum 'Gd2 Np2 Cl12'
_cell_length_a 6.982
_cell_length_b 12.092
_cell_length_c 6.544
_cell_angle_alpha 90.00
_cell_angle_beta 110.98
_cell_angle_gamma 90.00
_symmetry_space_group_name_H-M 'C 1 2 1'
_symmetry_Int_Tables_number 5
_symmetry_space_group_name_Hall 'C 2y'
loop_
_atom_site_label
_atom_site_type_symbol
_atom_site_fract_x
_atom_site_fract_y
_atom_site_fract_z
Gd1 Gd 0.000 0.000 0.000
Np1 Np 0.000 0.668 0.000
Cl1 Cl 0.225 0.837 0.248
Cl2 Cl 0.237 0.010 0.756
Cl3 Cl 0.245 0.655 0.756

***

# 8
# LiNbPd PBE-GGA relaxed
# * excess energy over the best structure of this formula in the dataset: 0.2826 eV per atom
# * energy: -5.1376 eV per atom
# * crystal system: cubic
data_LiNbPd
_chemical_formula_sum 'Li4 Nb4 Pd4'
_cell_length_a 6.035
_cell_length_b 6.035
_cell_length_c 6.035
_cell_angle_alpha 90.00
_cell_angle_beta 90.00
_cell_angle_gamma 90.00
_symmetry_space_group_name_H-M 'F -4 3 m'
_symmetry_Int_Tables_number 216
_symmetry_space_group_name_Hall 'F -4 2 3'
loop_
_atom_site_label
_atom_site_type_symbol
_atom_site_fract_x
_atom_site_fract_y
_atom_site_fract_z
Li1 Li 0.000 0.000 0.000
Nb1 Nb 0.250 0.250 0.750
Pd1 Pd 0.000 0.000 0.500

***

Repeat the seventh record exactly.
# GdNpCl6 PBE-GGA relaxed
# * energy: -5.5627 eV per atom
# * crystal system: monoclinic
data_GdNpCl6
_chemical_formula_sum 'Gd2 Np2 Cl12'
_cell_length_a 6.982
_cell_length_b 12.092
_cell_length_c 6.544
_cell_angle_alpha 90.00
_cell_angle_beta 110.98
_cell_angle_gamma 90.00
_symmetry_space_group_name_H-M 'C 1 2 1'
_symmetry_Int_Tables_number 5
_symmetry_space_group_name_Hall 'C 2y'
loop_
_atom_site_label
_atom_site_type_symbol
_atom_site_fract_x
_atom_site_fract_y
_atom_site_fract_z
Gd1 Gd 0.000 0.000 0.000
Np1 Np 0.000 0.668 0.000
Cl1 Cl 0.225 0.837 0.248
Cl2 Cl 0.237 0.010 0.756
Cl3 Cl 0.245 0.655 0.756